# 1
A plane-wave DFT calculation with PBE was carried out for a relaxed NaSnBr2F crystal.

Cell: 5.9218 5.9218 4.5386 Å, 90.00 90.00 90.00°
Atoms (fractional coordinates):
Na  0.5000  0.5000  0.5000
Sn  0.0000  0.0000  0.0000
Br  0.0000  0.5000  0.0000
Br  0.5000  0.0000  0.0000
F  0.0000  0.0000  0.5000

Raw formation energy ... -1.38 eV per atom


# 2
A plane-wave DFT calculation with PBE was carried out for a relaxed HgAu2Br crystal.

Cell: 5.0024 5.0024 5.0024 Å, 60.00 60.00 60.00°
Atoms (fractional coordinates):
Au  0.0000  0.0000  0.0000
Au  0.2500  0.2500  0.2500
Hg  0.7500  0.7500  0.7500
Br  0.5000  0.5000  0.5000

Raw formation energy ... 0.41 eV per atom


# 3
A plane-wave DFT calculation with PBE was carried out for a relaxed Pb2Au crystal.

Cell: 8.6936 8.6936 5.4559 Å, 90.00 90.00 156.91°
Atoms (fractional coordinates):
Au  0.0668  0.9332  0.2500
Au  0.9332  0.0668  0.7500
Pb  0.4209  0.5791  0.2500
Pb  0.5791  0.4209  0.7500
Pb  0.7150  0.2850  0.2500
Pb  0.2850  0.7150  0.7500

Energy ... -3.597 eV/atom


# 4
A plane-wave DFT calculation with PBE was carried out for a relaxed TaP2Br crystal.

Cell: 9.0120 9.0120 9.0120 Å, 20.25 20.25 20.25°
Atoms (fractional coordinates):
Br  0.7689  0.7689  0.7689
P  0.9719  0.9719  0.9719
P  0.2518  0.2518  0.2518
Ta  0.5075  0.5075  0.5075

Raw formation energy ... -0.02 eV per atom


# 5
A plane-wave DFT calculation with PBE was carried out for a relaxed AlHgN crystal.

Cell: 4.8491 4.8491 4.8491 Å, 65.19 70.01 103.80°
Atoms (fractional coordinates):
Hg  0.7500  0.9092  0.3408
Hg  0.2500  0.0908  0.6592
N  0.5000  0.0000  0.0000
N  0.0000  0.5000  0.0000
Al  0.0000  0.5000  0.5000
Al  0.5000  0.5000  0.0000

Raw formation energy ... 0.60 eV per atom


# 6
A plane-wave DFT calculation with PBE was carried out for a relaxed ZrNiHg crystal.

Cell: 3.3200 4.0739 8.3642 Å, 90.00 101.45 90.00°
Atoms (fractional coordinates):
Zr  0.5866  0.7500  0.1732
Zr  0.4134  0.2500  0.8268
Ni  0.9570  0.7500  0.9141
Ni  0.0430  0.2500  0.0859
Hg  0.7971  0.7500  0.5943
Hg  0.2029  0.2500  0.4057

Energy ... -5.214 eV/atom


# 7
A plane-wave DFT calculation with PBE was carried out for a relaxed ReBiRu3 crystal.

Cell: 4.7249 4.7249 4.7249 Å, 90.00 90.00 90.00°
Site moments in Bohr magnetons follow the coordinates.
Atoms (fractional coordinates):
Re  0.0000  0.0000  0.0000  -0.01
Bi  0.5000  0.5000  0.5000  0.00
Ru  0.0000  0.5000  0.0000  0.21
Ru  0.0000  0.0000  0.5000  0.23
Ru  0.5000  0.0000  0.0000  0.18

Energy ... -7.484 eV/atom


# 8
A plane-wave DFT calculation with PBE was carried out for a relaxed Na3Sr6Pt crystal.

Cell: 9.9160 9.9160 9.9160 Å, 78.72 78.72 78.72°
Atoms (fractional coordinates):
Na  0.1371  0.4695  0.1371
Na  0.1371  0.1371  0.4695
Na  0.5305  0.8629  0.8629
Na  0.4695  0.1371  0.1371
Na  0.8629  0.8629  0.5305
Na  0.8629  0.5305  0.8629
Sr  0.1394  0.8046  0.8046
Sr  0.1954  0.8606  0.1954
Sr  0.1931  0.5237  0.5237
Sr  0.1954  0.1954  0.8606
Sr  0.5237  0.5237  0.1931
Sr  0.4763  0.8069  0.4763
Sr  0.5237  0.1931  0.5237
Sr  0.4763  0.4763  0.8069
Sr  0.8046  0.8046  0.1394
Sr  0.8069  0.4763  0.4763
Sr  0.8046  0.1394  0.8046
Sr  0.8606  0.1954  0.1954
Pt  0.0000  0.0000  0.0000
Pt  0.5000  0.5000  0.5000

Energy ... -2.214 eV/atom


# 9
A plane-wave DFT calculation with PBE was carried out for a relaxed Ac2ErHg4 crystal.

Cell: 5.0491 5.0491 10.8767 Å, 76.58 76.58 60.00°
Atoms (fractional coordinates):
Ac  0.7533  0.7533  0.7400
Ac  0.2467  0.2467  0.2600
Hg  0.8598  0.8598  0.4207
Hg  0.1402  0.1402  0.5793
Hg  0.6374  0.6374  0.0877
Hg  0.3626  0.3626  0.9123
Er  0.0000  0.0000  0.0000

Energy ... -2.361 eV/atom


# 10
A plane-wave DFT calculation with PBE was carried out for a relaxed LiNpUS4 crystal.

Cell: 7.9368 7.9479 7.9479 Å, 60.06 60.05 60.05°
Site moments in Bohr magnetons follow the coordinates.
Atoms (fractional coordinates):
Li  0.6224  0.6276  0.1276  0.00
Li  0.3776  0.3724  0.8724  0.00
Np  0.0000  0.0000  0.0000  3.71
Np  0.0000  0.5000  0.5000  3.71
U  0.5000  0.0000  0.5000  2.21
U  0.0000  0.0000  0.5000  2.21
S  0.7556  0.7606  0.7282  -0.07
S  0.2444  0.7718  0.7394  -0.07
S  0.7556  0.2282  0.2606  -0.07
S  0.2444  0.2394  0.2718  -0.07
S  0.2270  0.7596  0.2596  -0.09
S  0.7538  0.7596  0.2596  -0.09
S  0.2462  0.2404  0.7404  -0.09
S  0.7730  0.2404  0.7404  -0.09

Raw formation energy ... -1.37 eV per atom


# 11
A plane-wave DFT calculation with PBE was carried out for a relaxed Nb3HgH crystal.

Cell: 4.2377 4.2377 4.2377 Å, 90.00 90.00 90.00°
Atoms (fractional coordinates):
H  0.0000  0.0000  0.0000
Nb  0.0000  0.5000  0.0000
Nb  0.0000  0.0000  0.5000
Nb  0.5000  0.0000  0.0000
Hg  0.5000  0.5000  0.5000

Energy ... -6.772 eV/atom


# 12
A plane-wave DFT calculation with PBE was carried out for a relaxed VInSe2N crystal.

Cell: 5.3636 5.3636 4.0637 Å, 90.00 90.00 90.00°
Site moments in Bohr magnetons follow the coordinates.
Atoms (fractional coordinates):
N  0.0000  0.0000  0.5000  0.97
V  0.5000  0.5000  0.5000  2.81
Se  0.0000  0.5000  0.0000  -0.06
Se  0.5000  0.0000  0.0000  -0.06
In  0.0000  0.0000  0.0000  -0.01

Raw formation energy ... 0.99 eV per atom


# 13
A plane-wave DFT calculation with PBE was carried out for a relaxed CsMgPC crystal.

Cell: 3.7462 4.2335 7.0487 Å, 97.68 105.08 90.16°
Atoms (fractional coordinates):
Cs  0.5370  0.4143  0.3039
P  0.2751  0.4889  0.7840
Mg  0.8172  0.0285  0.8673
C  0.3623  0.8256  0.9611

Energy ... -3.917 eV/atom


# 14
A plane-wave DFT calculation with PBE was carried out for a relaxed Tb2PaAgS6 crystal.

Cell: 6.6774 6.3378 6.3378 Å, 90.00 90.00 90.00°
Atoms (fractional coordinates):
Tb  0.9891  0.5000  0.0000
Tb  0.9891  0.0000  0.5000
Pa  0.5922  0.5000  0.5000
Ag  0.5084  0.0000  0.0000
S  0.7562  0.2434  0.2434
S  0.7562  0.2434  0.7566
S  0.1923  0.5000  0.5000
S  0.1509  0.0000  0.0000
S  0.7562  0.7566  0.7566
S  0.7562  0.7566  0.2434

Raw formation energy ... -1.22 eV per atom


# 15
A plane-wave DFT calculation with PBE was carried out for a relaxed Pm4Te2SeN2 crystal.

Cell: 4.1181 7.5561 8.2350 Å, 107.73 104.48 90.00°
Atoms (fractional coordinates):
Pm  0.2110  0.1510  0.4220
Pm  0.7890  0.8490  0.5780
Pm  0.5470  0.7661  0.0940
Pm  0.4530  0.2339  0.9060
Te  0.1321  0.5368  0.2641
Te  0.8679  0.4632  0.7359
Se  0.0000  0.0000  0.0000
N  0.6759  0.9839  0.3517
N  0.3241  0.0161  0.6483

Raw formation energy ... -1.59 eV per atom


Calculated magnetic moment, 0.00; 0.00; 0.00; 0.00; 0.00; 0.00; 0.63; 0.00; 0.00; 12.00; 0.00; 4.48; 0.00; 0.00; 0.00 μB per cell (same order as the records).